# 1
The following is a DFT calculation (GGA-PBE) of a relaxed Sm2HfIn crystal.

Cell: 4.792 4.723 4.723 Å, 90.00 90.00 90.00°
Element x y z (fractional)
Sm 0.000 0.500 0.000
Sm 0.000 0.000 0.500
Hf 0.500 0.500 0.500
In 0.500 0.000 0.000

## Properties
Density of states at the Fermi level, states/eV/atom: 0.94
Space-group type: P4/mmm, No. 123
Excess energy over the best structure of this formula in the dataset, meV/atom: 0
Crystal system: tetragonal
Formation enthalpy at 0 K, eV per formula unit: -0.44
Total moment, μB per formula unit: 0.00

# 2
The following is a DFT calculation (GGA-PBE) of a relaxed K2Ge2O5 crystal.

Cell: 3.867 5.543 7.020 Å, 98.30 90.00 110.41°
Element x y z (fractional)
Ge 0.149 0.297 0.898
Ge 0.851 0.703 0.102
O 0.872 0.744 0.349
O 0.317 0.635 0.038
O 0.683 0.365 0.962
O 0.128 0.256 0.651
O 0.000 0.000 0.000
K 0.604 0.209 0.364
K 0.396 0.791 0.636

## Properties
Density of states at the Fermi level, states/eV/atom: 0.00
Space-group type: C2/m, No. 12
Excess energy over the best structure of this formula in the dataset, meV/atom: 115
Crystal system: monoclinic
Formation energy from raw total energies, kJ/mol of atoms: -159.34
Total moment, μB per formula unit: 0.00

# 3
The following is a DFT calculation (GGA-PBE) of a relaxed TaNiOs2 crystal.

Cell: 2.757 2.757 7.638 Å, 90.00 90.00 90.00°
Element x y z (fractional)
Ta 0.000 0.000 0.515
Os 0.500 0.500 0.229
Os 0.000 0.000 0.997
Ni 0.500 0.500 0.759

## Properties
Density of states at the Fermi level, states/eV/atom: 1.04
Space-group type: P4mm, No. 99
Crystal system: tetragonal
Formation enthalpy at 0 K, eV per formula unit: -0.02
Total moment, μB per formula unit: 0.00

# 4
The following is a DFT calculation (GGA-PBE) of a relaxed CoGe2S2 crystal.

Cell: 3.795 3.795 12.467 Å, 98.61 98.62 91.73°
Element x y z (fractional)
Co 0.779 0.221 0.500
Co 0.471 0.529 0.000
S 0.038 0.517 0.099
S 0.483 0.962 0.901
S 0.767 0.788 0.599
S 0.212 0.233 0.401
Ge 0.594 0.706 0.350
Ge 0.956 0.344 0.850
Ge 0.656 0.044 0.150
Ge 0.294 0.406 0.650

## Properties
Density of states at the Fermi level, states/eV/atom: 0.54
Space-group type: C2/c, No. 15
Crystal system: monoclinic
Formation energy from raw total energies, kJ/mol of atoms: -6.97
Total moment, μB per formula unit: 0.00

# 5
The following is a DFT calculation (GGA-PBE) of a relaxed Tb3NdDyY crystal.

Cell: 3.614 9.595 12.015 Å, 110.32 90.00 90.00°
Element x y z (fractional)
Nd 0.750 0.873 0.373
Nd 0.250 0.127 0.627
Tb 0.250 0.680 0.848
Tb 0.250 0.069 0.904
Tb 0.250 0.567 0.402
Tb 0.750 0.320 0.152
Tb 0.750 0.931 0.096
Tb 0.750 0.433 0.598
Y 0.750 0.818 0.655
Y 0.250 0.182 0.345
Dy 0.250 0.624 0.123
Dy 0.750 0.376 0.877

## Properties
Density of states at the Fermi level, states/eV/atom: 1.36
Space-group type: P2_1/m, No. 11
Crystal system: monoclinic
Formation enthalpy at 0 K, eV per formula unit: 0.00
Total moment, μB per formula unit: 0.00

# 6
The following is a DFT calculation (GGA-PBE) of a relaxed BaAsWBr2 crystal.

Cell: 6.077 6.077 6.636 Å, 90.00 90.00 90.00°
Each line ends with the local moment (μB).
Element x y z (fractional)
As 0.000 0.000 0.500  0.80
W 0.500 0.500 0.500  1.05
Br 0.500 0.000 0.000  0.04
Br 0.000 0.500 0.000  0.04
Ba 0.000 0.000 0.000  0.02

## Properties
Density of states at the Fermi level, states/eV/atom: 0.91
Space-group type: P4/mmm, No. 123
Excess energy over the best structure of this formula in the dataset, meV/atom: 1600
Crystal system: tetragonal
Formation energy from raw total energies, kJ/mol of atoms: 119.02
Total moment, μB per formula unit: 3.35

Number 1: energy -5.644 eV per atom. Number 2: energy -5.676 eV per atom. Number 3: energy -10.028 eV per atom. Number 4: energy -4.991 eV per atom. Number 5: energy -4.954 eV per atom. Number 6: energy -3.341 eV per atom.